Entry 1:
The following is a DFT calculation (PBE) of a geometry-optimized TaNiRu structure.

Magnetization = 0.0 μB per cell
ΔH_f (0 K) = -0.26 eV per atom
Relative energy among the computed polymorphs = 43 meV per atom

a = 8.676 Å, b = 3.882 Å, c = 5.343 Å
α = 90.00°, β = 106.94°, γ = 90.00°
Space group Cm (No. 8)
Symmetry-distinct sites (fractional):
Ta1 0.000 0.000 0.000
Ta2 0.205 0.500 0.379
Ni1 0.178 0.500 0.870
Ni2 0.346 0.000 0.182
Ru1 0.027 0.000 0.504
Ru2 0.353 0.000 0.691

Entry 2:
The following is a DFT calculation (PBE) of a geometry-optimized GaAgPtPb2 structure.

Magnetization = 0.0 μB per cell
ΔH_f (0 K) = -0.10 eV per atom
Relative energy among the computed polymorphs = 59 meV per atom

a = 4.867 Å, b = 9.177 Å, c = 5.099 Å
α = 90.00°, β = 90.00°, γ = 90.00°
Space group Imm2 (No. 44)
Symmetry-distinct sites (fractional):
Ga1 0.000 0.000 0.000
Ag1 0.000 0.500 0.264
Pt1 0.000 0.000 0.488
Pb1 0.000 0.306 0.757

Entry 3:
The following is a DFT calculation (PBE) of a geometry-optimized PrNbO4F structure.

Energy relative to the elements, uncorrected = -2.70 eV per atom
Magnetization = 0.0 μB per cell

a = 10.069 Å, b = 7.558 Å, c = 6.954 Å
α = 90.00°, β = 100.60°, γ = 90.00°
Space group C2/m (No. 12)
Symmetry-distinct sites (fractional):
Pr1 0.195 0.000 0.081
Nb1 0.125 0.500 0.291
O1 0.065 0.500 0.757
O2 0.190 0.315 0.158
O3 0.195 0.500 0.563
F1 0.014 0.000 0.813

Entry 4:
The following is a DFT calculation (PBE) of a geometry-optimized Tb4GeSe2S structure.

Energy relative to the elements, uncorrected = -1.68 eV per atom
Magnetization = 0.0 μB per cell

a = 7.024 Å, b = 4.079 Å, c = 7.142 Å
α = 90.00°, β = 109.42°, γ = 90.00°
Space group P2/m (No. 10)
Symmetry-distinct sites (fractional):
Tb1 0.244 0.000 0.232
Tb2 0.255 0.500 0.764
Ge1 0.500 0.000 0.000
Se1 0.000 0.000 0.500
Se2 0.500 0.500 0.500
S1 0.000 0.500 0.000

Entry 5:
The following is a DFT calculation (PBE) of a geometry-optimized KZrP2 structure.

Magnetization = 1.2 μB per cell
ΔH_f (0 K) = 0.20 eV per atom
Relative energy among the computed polymorphs = 857 meV per atom

a = 3.2603 Å, b = 3.2603 Å, c = 28.9983 Å
α = 90.00°, β = 90.00°, γ = 120.00°
Space group R3m (No. 160, hexagonal axes)
Symmetry-distinct sites (fractional):
K1 0.0000 0.0000 0.0000
Zr1 0.0000 0.0000 0.7856
P1 0.0000 0.0000 0.2404
P2 0.0000 0.0000 0.5273

Entry 6:
The following is a DFT calculation (PBE) of a geometry-optimized LaPmYAl structure.

Magnetization = 0.0 μB per cell
ΔH_f (0 K) = -0.05 eV per atom

a = 7.779 Å, b = 7.779 Å, c = 7.779 Å
α = 90.00°, β = 90.00°, γ = 90.00°
Space group F-43m (No. 216)
Symmetry-distinct sites (fractional):
La1 0.000 0.000 0.000
Pm1 0.000 0.000 0.500
Y1 0.250 0.250 0.750
Al1 0.250 0.250 0.250

Entry 7:
The following is a DFT calculation (PBE) of a geometry-optimized KScBe2 structure.

Magnetization = 0.5 μB per cell
ΔH_f (0 K) = 0.56 eV per atom
Relative energy among the computed polymorphs = 161 meV per atom

a = 3.002 Å, b = 3.002 Å, c = 8.927 Å
α = 90.00°, β = 90.00°, γ = 90.00°
Space group P4mm (No. 99)
Symmetry-distinct sites (fractional):
K1 0.000 0.000 0.000
Sc1 0.500 0.500 0.396
Be1 0.000 0.000 0.608
Be2 0.500 0.500 0.695

Entry 8:
The following is a DFT calculation (PBE) of a geometry-optimized YNb2AsCl structure.

Energy relative to the elements, uncorrected = 1.41 eV per atom
Magnetization = 3.5 μB per cell

a = 5.323 Å, b = 5.323 Å, c = 4.839 Å
α = 90.00°, β = 90.00°, γ = 90.00°
Space group P4/mmm (No. 123)
Symmetry-distinct sites (fractional):
Y1 0.000 0.000 0.000
Nb1 0.000 0.500 0.000
As1 0.500 0.500 0.500
Cl1 0.000 0.000 0.500

Entry 9:
The following is a DFT calculation (PBE) of a geometry-optimized BaPdRuRh2 structure.

Magnetization = 3.5 μB per cell
ΔH_f (0 K) = 0.93 eV per atom

a = 4.942 Å, b = 4.942 Å, c = 4.847 Å
α = 90.00°, β = 90.00°, γ = 90.00°
Space group P4/mmm (No. 123)
Symmetry-distinct sites (fractional):
Ba1 0.000 0.000 0.000
Pd1 0.500 0.500 0.500
Ru1 0.500 0.500 0.000
Rh1 0.000 0.500 0.500

Entry 10:
The following is a DFT calculation (PBE) of a geometry-optimized Cr2FeTc structure.

Magnetization = 4.7 μB per cell
ΔH_f (0 K) = 0.11 eV per atom
Relative energy among the computed polymorphs = 16 meV per atom

a = 2.971 Å, b = 4.101 Å, c = 8.141 Å
α = 90.00°, β = 90.00°, γ = 90.00°
Space group Immm (No. 71)
Symmetry-distinct sites (fractional):
Cr1 0.000 0.000 0.248
Fe1 0.000 0.500 0.000
Tc1 0.000 0.500 0.500

Entry 11:
The following is a DFT calculation (PBE) of a geometry-optimized Zn2CrCl structure.

Energy relative to the elements, uncorrected = 0.20 eV per atom
Magnetization = 18.3 μB per cell
Relative energy among the computed polymorphs = 158 meV per atom

a = 7.742 Å, b = 7.742 Å, c = 5.170 Å
α = 90.00°, β = 90.00°, γ = 90.00°
Space group I-42d (No. 122)
Symmetry-distinct sites (fractional):
Zn1 0.243 0.250 0.125
Cr1 0.000 0.000 0.000
Cl1 0.000 0.000 0.500

Entry 12:
The following is a DFT calculation (PBE) of a geometry-optimized CsReNi structure.

Magnetization = 0.0 μB per cell
ΔH_f (0 K) = 1.49 eV per atom
Relative energy among the computed polymorphs = 792 meV per atom

a = 5.670 Å, b = 4.329 Å, c = 10.665 Å
α = 90.00°, β = 90.00°, γ = 90.00°
Space group Pnma (No. 62)
Symmetry-distinct sites (fractional):
Cs1 0.000 0.250 0.124
Re1 0.000 0.250 0.680
Ni1 0.000 0.250 0.449

| no. | VASP energy (eV/atom) |
| --- | --- |
| 1 | -9.226 |
| 2 | -3.971 |
| 3 | -7.927 |
| 4 | -5.961 |
| 5 | -4.920 |
| 6 | -5.023 |
| 7 | -3.162 |
| 8 | -5.206 |
| 9 | -5.288 |
| 10 | -9.404 |
| 11 | -3.302 |
| 12 | -4.871 |